1.
! CdGa2Sb PBE relaxed; values from VASP
&SYSTEM
  ibrav = 0, nat = 4, ntyp = 3
/
ATOMIC_SPECIES
Cd 112.41 Cd.upf
Ga 69.72 Ga.upf
Sb 121.76 Sb.upf
CELL_PARAMETERS angstrom
0.000 3.606 3.606
3.606 0.000 3.606
3.606 3.606 0.000
ATOMIC_POSITIONS crystal
Cd 0.000 0.000 0.000
Ga 0.250 0.250 0.250
Ga 0.750 0.750 0.750
Sb 0.500 0.500 0.500
! raw formation energy: 0.09 eV/atom
! magnetization: 0.00 μB/f.u.
! DOS(E_F): 0.50 states/eV/atom
! DFT total energy: -10.735 eV/cell


2.
! LiReSb PBE relaxed; values from VASP
&SYSTEM
  ibrav = 0, nat = 3, ntyp = 3
/
ATOMIC_SPECIES
Li 6.94 Li.upf
Re 186.21 Re.upf
Sb 121.76 Sb.upf
CELL_PARAMETERS angstrom
4.660 0.000 0.000
-2.330 4.036 0.000
0.000 0.000 2.797
ATOMIC_POSITIONS crystal
Li 0.000 0.000 0.000
Re 0.333 0.667 0.500
Sb 0.667 0.333 0.500
! raw formation energy: 0.35 eV/atom
! magnetization: 0.00 μB/f.u.
! DOS(E_F): 0.39 states/eV/atom
! DFT total energy: -17.437 eV/cell


3.
! Ca2AlAg3Sn4 PBE relaxed; values from VASP
&SYSTEM
  ibrav = 0, nat = 10, ntyp = 4
/
ATOMIC_SPECIES
Ca 40.08 Ca.upf
Al 26.98 Al.upf
Ag 107.87 Ag.upf
Sn 118.71 Sn.upf
CELL_PARAMETERS angstrom
4.444 0.000 0.000
0.000 4.444 0.000
0.000 0.000 12.484
ATOMIC_POSITIONS crystal
Ca 0.000 0.500 0.249
Ca 0.500 0.000 0.751
Al 0.500 0.500 0.000
Ag 0.000 0.000 0.000
Ag 0.000 0.500 0.647
Ag 0.500 0.000 0.353
Sn 0.000 0.000 0.500
Sn 0.000 0.500 0.862
Sn 0.500 0.000 0.138
Sn 0.500 0.500 0.500
! formation energy from the elements: -0.29 eV/atom
! magnetization: 0.00 μB/f.u.
! DOS(E_F): 0.29 states/eV/atom
! DFT total energy: -35.253 eV/cell


4.
! La3Sm3Ni4 PBE relaxed; values from VASP
&SYSTEM
  ibrav = 0, nat = 10, ntyp = 3
/
ATOMIC_SPECIES
La 138.91 La.upf
Sm 150.36 Sm.upf
Ni 58.69 Ni.upf
CELL_PARAMETERS angstrom
3.953 0.000 0.000
0.000 5.520 5.534
0.000 -5.520 5.534
ATOMIC_POSITIONS crystal
La 0.000 0.000 0.000
La 0.000 0.495 0.827
La 0.000 0.827 0.495
Sm 0.000 0.330 0.330
Sm 0.500 0.163 0.658
Sm 0.500 0.658 0.163
Ni 0.500 0.046 0.285
Ni 0.500 0.285 0.046
Ni 0.500 0.538 0.538
Ni 0.500 0.783 0.783
! formation energy from the elements: -0.24 eV/atom
! magnetization: 0.00 μB/f.u.
! DOS(E_F): 0.83 states/eV/atom
! DFT total energy: -54.480 eV/cell


5.
! TaCr2Pt2 PBE relaxed; values from VASP
&SYSTEM
  ibrav = 0, nat = 10, ntyp = 3
/
ATOMIC_SPECIES
Ta 180.95 Ta.upf
Cr 52.00 Cr.upf
Pt 195.08 Pt.upf
CELL_PARAMETERS angstrom
7.351 0.000 0.000
0.000 7.351 0.000
0.000 0.000 2.721
ATOMIC_POSITIONS crystal
Ta 0.000 0.000 0.000
Ta 0.500 0.500 0.000
Cr 0.110 0.390 0.000
Cr 0.390 0.890 0.000
Cr 0.610 0.110 0.000
Cr 0.890 0.610 0.000
Pt 0.182 0.682 0.500
Pt 0.318 0.182 0.500
Pt 0.682 0.818 0.500
Pt 0.818 0.318 0.500
! formation energy from the elements: -0.10 eV/atom
! magnetization: 0.00 μB/f.u.
! DOS(E_F): 1.46 states/eV/atom
! DFT total energy: -87.398 eV/cell


6.
! Li3La2Sn5 PBE relaxed; values from VASP
&SYSTEM
  ibrav = 0, nat = 20, ntyp = 3
/
ATOMIC_SPECIES
Li 6.94 Li.upf
La 138.91 La.upf
Sn 118.71 Sn.upf
CELL_PARAMETERS angstrom
6.360 -6.986 0.000
6.360 6.986 0.000
-3.213 0.000 5.540
ATOMIC_POSITIONS crystal
Li 0.000 0.000 0.250
Li 0.000 0.000 0.750
Li 0.267 0.558 0.913
Li 0.442 0.733 0.587
Li 0.558 0.267 0.413
Li 0.733 0.442 0.087
La 0.133 0.407 0.270
La 0.407 0.133 0.770
La 0.593 0.867 0.230
La 0.867 0.593 0.730
Sn 0.088 0.275 0.681
Sn 0.211 0.789 0.250
Sn 0.211 0.789 0.750
Sn 0.275 0.088 0.181
Sn 0.500 0.500 0.250
Sn 0.500 0.500 0.750
Sn 0.725 0.912 0.819
Sn 0.789 0.211 0.250
Sn 0.789 0.211 0.750
Sn 0.912 0.725 0.319
! formation energy from the elements: -0.53 eV/atom
! magnetization: 0.00 μB/f.u.
! DOS(E_F): 0.41 states/eV/atom
! DFT total energy: -81.839 eV/cell


7.
! RbZr3Pt PBE relaxed; values from VASP
&SYSTEM
  ibrav = 0, nat = 5, ntyp = 3
/
ATOMIC_SPECIES
Rb 85.47 Rb.upf
Zr 91.22 Zr.upf
Pt 195.08 Pt.upf
CELL_PARAMETERS angstrom
5.290 0.000 0.000
0.000 5.290 0.000
0.000 0.000 5.290
ATOMIC_POSITIONS crystal
Rb 0.000 0.000 0.000
Zr 0.000 0.500 0.500
Zr 0.500 0.000 0.500
Zr 0.500 0.500 0.000
Pt 0.500 0.500 0.500
! formation energy from the elements: 0.45 eV/atom
! magnetization: 0.00 μB/f.u.
! DOS(E_F): 1.26 states/eV/atom
! DFT total energy: -30.416 eV/cell


8.
! YOs3Rh PBE relaxed; values from VASP
&SYSTEM
  ibrav = 0, nat = 5, ntyp = 3
/
ATOMIC_SPECIES
Y 88.91 Y.upf
Os 190.23 Os.upf
Rh 102.91 Rh.upf
CELL_PARAMETERS angstrom
4.714 0.000 0.000
0.000 4.714 0.000
0.000 0.000 4.714
ATOMIC_POSITIONS crystal
Y 0.000 0.000 0.000
Os 0.000 0.500 0.500
Os 0.500 0.000 0.500
Os 0.500 0.500 0.000
Rh 0.500 0.500 0.500
! formation energy from the elements: 1.56 eV/atom
! magnetization: 0.00 μB/f.u.
! DOS(E_F): 1.74 states/eV/atom
! DFT total energy: -39.711 eV/cell